Entry from Alexandria: a geometry-optimized AlS2IN structure (GGA-PBE).

The density of states at the Fermi level comes out at 0.74 states/eV/atom. The value obtained for the relative energy among the computed polymorphs is 748 meV per atom. The density is 3.59 g/cm3. For the uncorrected formation energy, the calculation gives 1.253 eV/atom. Its crystal system is tetragonal. The calculation puts the total energy at -3.122 eV per atom.

The space group is P4/mmm (No. 123) and the conventional cell measures 5.223, 5.223 and 3.933 Å, with angles of 90.00, 90.00 and 90.00 degrees. The distinct sites, in fractional coordinates, are Al at (0.000, 0.000, 0.000), S at (0.000, 0.500, 0.500), I at (0.500, 0.500, 0.500) and N at (0.500, 0.500, 0.000).